This record from the Alexandria database describes a relaxed Sr2TlBPd6 crystal. The functional is GGA-PBE.

Values from the calculation:
Its space-group type is No. 59. The calculation puts the size of the total moment at 0.000 μB/cell. The value obtained for the calculated volume is 202.88 Å³/f.u. Its total energy is -4.8523 eV per atom. As for the formation enthalpy at 0 K: -496 meV per atom.

Cell: 5.946 7.647 8.924 Å, 90.00 90.00 90.00°
Fractional positions:
Pd 0.500 0.130 0.737
Pd 0.731 0.010 0.000
Pd 0.000 0.870 0.763
Pd 0.269 0.010 0.000
Pd 0.769 0.990 0.500
Pd 0.237 0.630 0.000
Pd 0.263 0.370 0.500
Pd 0.737 0.370 0.500
Pd 0.763 0.630 0.000
Pd 0.231 0.990 0.500
Pd 0.500 0.130 0.263
Pd 0.000 0.870 0.237
B 0.500 0.166 0.500
B 0.000 0.834 0.000
Tl 0.000 0.663 0.500
Tl 0.500 0.337 0.000
Sr 0.500 0.712 0.717
Sr 0.500 0.712 0.283
Sr 0.000 0.288 0.217
Sr 0.000 0.288 0.783